First-principles (PBE) data for a relaxed structure of PmCdIr2, as listed in Alexandria.

Unit cell a=3.467 b=3.467 c=6.468 alpha=90.00 beta=90.00 gamma=90.00
Positions (direct):
Cd 0.500 0.500 0.500
Ir 0.000 0.000 0.729
Ir 0.000 0.000 0.271
Pm 0.500 0.500 0.000

Polymorph energy (0 for the lowest one) = 107 meV/atom
Final energy = -23.95 eV/f.u.
Formation energy from the elements = -0.140 eV per atom